# 1
Entry from Alexandria: an optimized crystal structure of CrSe2N2 (PBE).

* calculated total energy: -69.063 eV/cell
* distance to the lowest polymorph of the same formula: 0.000 eV/atom
* SG: C2/m (12)
* DOS(E_F): 2.43 states/eV/f.u.
* formation energy without anion corrections: -0.258 eV per atom

```
10
Lattice="6.0210 0.0000 0.0000 0.0000 3.4770 0.0000 -1.7947 0.0000 11.5515" Properties=species:S:1:pos:R:3 pbc="T T T"
Cr 0.0000 0.0000 0.0000
Cr 3.0105 1.7385 0.0000
Se 1.0034 1.7385 1.4853
Se 0.2123 0.0000 10.0662
Se 4.0139 0.0000 1.4853
Se 3.2228 1.7385 10.0662
N -0.8070 1.7385 6.3252
N 2.0227 0.0000 5.2263
N 2.2035 0.0000 6.3252
N 5.0332 1.7385 5.2263
```


# 2
Entry from Alexandria: an optimized crystal structure of Rb2TmCu3F12 (PBE).

* calculated total energy: -84.356 eV/cell
* SG: R-3m (166)
* DOS(E_F): 6.00 states/eV/f.u.
* formation energy without anion corrections: -2.400 eV per atom

```
18
Lattice="3.7111 2.1426 6.1321 -3.7111 2.1426 6.1321 0.0000 -4.2852 6.1321" Properties=species:S:1:pos:R:3 pbc="T T T"
Rb 0.0000 0.0000 2.0576
Rb 0.0000 0.0000 16.3387
Tm 0.0000 0.0000 9.1981
Cu -1.8555 -1.0713 6.1321
Cu -1.8555 1.0713 12.2642
Cu 0.0000 2.1426 6.1321
F -1.6145 -0.9321 8.1258
F 0.0000 -1.6766 5.9363
F -1.4520 0.8383 5.9363
F 0.0000 -1.8642 10.2705
F -1.6144 0.9321 10.2705
F -1.4520 -0.8383 12.4600
F 1.4520 0.8383 5.9363
F 1.6145 -0.9321 8.1258
F 0.0000 1.8642 8.1258
F 1.4520 -0.8383 12.4600
F 0.0000 1.6766 12.4600
F 1.6144 0.9321 10.2705
```


# 3
Entry from Alexandria: an optimized crystal structure of TmSnPd5 (PBE).

* calculated total energy: -77.939 eV/cell
* distance to the lowest polymorph of the same formula: 0.083 eV/atom
* SG: Cmcm (63)
* DOS(E_F): 2.45 states/eV/f.u.
* energy relative to the elements: -14.93 kcal/mol of atoms

```
14
Lattice="3.8216 -2.9213 0.0000 3.8216 2.9213 0.0000 0.0000 0.0000 11.6017" Properties=species:S:1:pos:R:3 pbc="T T T"
Tm 3.8216 2.9149 8.7013
Tm 3.8216 -2.9149 2.9004
Sn 3.8216 0.0000 0.0000
Sn 3.8216 0.0000 5.8008
Pd 1.9093 1.4561 7.1960
Pd 1.9093 1.4561 10.2065
Pd 1.9093 -1.4561 1.3952
Pd 1.9093 -1.4561 4.4057
Pd 3.8216 0.0042 2.9004
Pd 3.8216 -0.0042 8.7013
Pd 5.7340 1.4561 7.1960
Pd 5.7340 1.4561 10.2065
Pd 5.7340 -1.4561 1.3952
Pd 5.7340 -1.4561 4.4057
```


# 4
Entry from Alexandria: an optimized crystal structure of CuHgSb2I (PBE).

* calculated total energy: -11.995 eV/cell
* distance to the lowest polymorph of the same formula: 0.000 eV/atom
* SG: P4/mmm (123)
* DOS(E_F): 5.55 states/eV/f.u.
* formation energy without anion corrections: 0.440 eV per atom

```
5
Lattice="5.1711 0.0000 0.0000 0.0000 5.1711 0.0000 0.0000 0.0000 5.5344" Properties=species:S:1:pos:R:3 pbc="T T T"
Cu 0.0000 0.0000 0.0000
Hg 2.5855 2.5855 2.7672
Sb 0.0000 2.5855 0.0000
Sb 2.5855 0.0000 0.0000
I 0.0000 0.0000 2.7672
```